Record 1
YTlAs2 | PBE | relaxed

Computed properties:
- SG: F-43m
- Polymorph energy (0 for the lowest one): 0.477 eV/atom

a = 5.1293 Å, b = 5.1293 Å, c = 5.1293 Å
α = 60.00°, β = 60.00°, γ = 60.00°
With the nearest neighbours (Å) after each atom.
Fractional coordinates of all 4 atoms:
Y 0.0000 0.0000 0.0000  4 Tl 3.14, 4 As 3.14
Tl 0.2500 0.2500 0.2500  4 As 3.14, 4 Y 3.14
As 0.5000 0.5000 0.5000  4 As 3.14, 4 Tl 3.14
As 0.7500 0.7500 0.7500  4 As 3.14, 4 Y 3.14



Record 2
TaSi3Pt | PBE | relaxed

Computed properties:
- Uncorrected formation energy: 1.0814 eV/atom
- SG: Pm-3m

a = 4.8076 Å, b = 4.8076 Å, c = 4.8076 Å
α = 90.00°, β = 90.00°, γ = 90.00°
With the nearest neighbours (Å) after each atom.
Fractional coordinates of all 5 atoms:
Ta 0.0000 0.0000 0.0000  6 Si 2.40
Si 0.0000 0.0000 0.5000  2 Ta 2.40
Si 0.0000 0.5000 0.0000  2 Ta 2.40
Si 0.5000 0.0000 0.0000  2 Ta 2.40
Pt 0.5000 0.5000 0.5000  12 Si 3.40



Record 3
BeCuOs3 | PBE | relaxed

Computed properties:
- SG: Pm-3m
- Polymorph energy (0 for the lowest one): 1.366 eV/atom

a = 4.4142 Å, b = 4.4142 Å, c = 4.4142 Å
α = 90.00°, β = 90.00°, γ = 90.00°
With the nearest neighbours (Å) after each atom.
Fractional coordinates of all 5 atoms:
Be 0.0000 0.0000 0.0000  12 Os 3.12
Cu 0.5000 0.5000 0.5000  6 Os 2.21
Os 0.0000 0.5000 0.5000  2 Cu 2.21
Os 0.5000 0.0000 0.5000  2 Cu 2.21
Os 0.5000 0.5000 0.0000  2 Cu 2.21



These records have magnetic moment values of 0.00, 0.00, 1.43 μB per formula unit, in the order they appear.